# 1
# ErZrSc2, relaxed, DFT PBE
data_ErZrSc2
_space_group_name_H-M_alt 'P 4/m m m'
_space_group_IT_number 123
_space_group_name_Hall '-P 4 2'
_cell_length_a 3.782
_cell_length_b 3.782
_cell_length_c 7.114
_cell_angle_alpha 90.00
_cell_angle_beta 90.00
_cell_angle_gamma 90.00
loop_
_atom_site_label
_atom_site_type_symbol
_atom_site_fract_x
_atom_site_fract_y
_atom_site_fract_z
_atom_site_occupancy
Er1 Er 0.000 0.000 0.000 1
Zr1 Zr 0.000 0.000 0.500 1
Sc1 Sc 0.500 0.500 0.278 1
# distance to the lowest polymorph of the same formula	63	meV/atom
# DOS(E_F)	1.751	states/eV per atom
# final energy	-6.35	eV/atom
# ΔE_f	97	meV/atom
# crystal system	tetragonal


# 2
# TaSbIrPb2, relaxed, DFT PBE
data_TaSbIrPb2
_space_group_name_H-M_alt 'P 4/m m m'
_space_group_IT_number 123
_space_group_name_Hall '-P 4 2'
_cell_length_a 5.268
_cell_length_b 5.268
_cell_length_c 5.141
_cell_angle_alpha 90.00
_cell_angle_beta 90.00
_cell_angle_gamma 90.00
loop_
_atom_site_label
_atom_site_type_symbol
_atom_site_fract_x
_atom_site_fract_y
_atom_site_fract_z
_atom_site_occupancy
Ta1 Ta 0.000 0.000 0.000 1
Sb1 Sb 0.500 0.500 0.000 1
Ir1 Ir 0.500 0.500 0.500 1
Pb1 Pb 0.000 0.500 0.500 1
# DOS(E_F)	1.334	states/eV per atom
# final energy	-5.27	eV/atom
# crystal system	tetragonal


# 3
# Pr4Se3Cl, relaxed, DFT PBE
data_Pr4Se3Cl
_space_group_name_H-M_alt 'R -3 m'
_space_group_IT_number 166
_space_group_name_Hall '-R 3 2"'
_cell_length_a 4.2981
_cell_length_b 4.2981
_cell_length_c 40.3161
_cell_angle_alpha 90.00
_cell_angle_beta 90.00
_cell_angle_gamma 120.00
loop_
_atom_site_label
_atom_site_type_symbol
_atom_site_fract_x
_atom_site_fract_y
_atom_site_fract_z
_atom_site_occupancy
Pr1 Pr 0.0000 0.0000 0.1225 1
Pr2 Pr 0.0000 0.0000 0.3756 1
Se1 Se 0.0000 0.0000 0.2517 1
Se2 Se 0.0000 0.0000 0.5000 1
Cl1 Cl 0.0000 0.0000 0.0000 1
# DOS(E_F)	0.452	states/eV per atom
# final energy	-5.64	eV/atom
# crystal system	trigonal


# 4
# Y2HgB, relaxed, DFT PBE
data_Y2HgB
_space_group_name_H-M_alt 'I -4 2 d'
_space_group_IT_number 122
_space_group_name_Hall 'I -4 2bw'
_cell_length_a 7.430
_cell_length_b 7.430
_cell_length_c 7.120
_cell_angle_alpha 90.00
_cell_angle_beta 90.00
_cell_angle_gamma 90.00
loop_
_atom_site_label
_atom_site_type_symbol
_atom_site_fract_x
_atom_site_fract_y
_atom_site_fract_z
_atom_site_occupancy
Y1 Y 0.185 0.750 0.125 1
Hg1 Hg 0.000 0.000 0.500 1
B1 B 0.000 0.000 0.000 1
# distance to the lowest polymorph of the same formula	0	meV/atom
# DOS(E_F)	0.963	states/eV per atom
# final energy	-4.92	eV/atom
# ΔE_f	55	meV/atom
# crystal system	tetragonal


# 5
# KBi2Rh, relaxed, DFT PBE
data_KBi2Rh
_space_group_name_H-M_alt 'R 3 m'
_space_group_IT_number 160
_space_group_name_Hall 'R 3 -2"'
_cell_length_a 4.3169
_cell_length_b 4.3169
_cell_length_c 23.2460
_cell_angle_alpha 90.00
_cell_angle_beta 90.00
_cell_angle_gamma 120.00
loop_
_atom_site_label
_atom_site_type_symbol
_atom_site_fract_x
_atom_site_fract_y
_atom_site_fract_z
_atom_site_occupancy
K1 K 0.0000 0.0000 0.0000 1
Bi1 Bi 0.0000 0.0000 0.2175 1
Bi2 Bi 0.0000 0.0000 0.4461 1
Rh1 Rh 0.0000 0.0000 0.8299 1
# distance to the lowest polymorph of the same formula	0	meV/atom
# DOS(E_F)	0.474	states/eV per atom
# final energy	-4.27	eV/atom
# ΔE_f	-222	meV/atom
# crystal system	trigonal


# 6
# PrScZnSn, relaxed, DFT PBE
data_PrScZnSn
_space_group_name_H-M_alt 'F -4 3 m'
_space_group_IT_number 216
_space_group_name_Hall 'F -4 2 3'
_cell_length_a 7.301
_cell_length_b 7.301
_cell_length_c 7.301
_cell_angle_alpha 90.00
_cell_angle_beta 90.00
_cell_angle_gamma 90.00
loop_
_atom_site_label
_atom_site_type_symbol
_atom_site_fract_x
_atom_site_fract_y
_atom_site_fract_z
_atom_site_occupancy
Pr1 Pr 0.000 0.000 0.000 1
Sc1 Sc 0.000 0.000 0.500 1
Zn1 Zn 0.250 0.250 0.250 1
Sn1 Sn 0.250 0.250 0.750 1
# DOS(E_F)	0.534	states/eV per atom
# final energy	-4.56	eV/atom
# ΔE_f	-459	meV/atom
# crystal system	cubic


# 7
# UAlAu11, relaxed, DFT PBE
data_UAlAu11
_space_group_name_H-M_alt 'C 1 2/m 1'
_space_group_IT_number 12
_cell_length_a 5.544
_cell_length_b 13.400
_cell_length_c 7.208
_cell_angle_alpha 90.00
_cell_angle_beta 110.60
_cell_angle_gamma 90.00
loop_
_space_group_symop_operation_xyz
'x,y,z'
'-x,-y,-z'
'-x,y,-z'
'x,-y,z'
'x+1/2,y+1/2,z'
'-x+1/2,-y+1/2,-z'
'-x+1/2,y+1/2,-z'
'x+1/2,-y+1/2,z'
loop_
_atom_site_label
_atom_site_type_symbol
_atom_site_fract_x
_atom_site_fract_y
_atom_site_fract_z
_atom_site_occupancy
U1 U 0.000 0.000 0.000 1
Al1 Al 0.000 0.500 0.500 1
Au1 Au 0.000 0.000 0.500 1
Au2 Au 0.085 0.396 0.217 1
Au3 Au 0.170 0.169 0.348 1
Au4 Au 0.250 0.250 0.000 1
# DOS(E_F)	0.806	states/eV per atom
# final energy	-4.03	eV/atom
# ΔE_f	-102	meV/atom
# crystal system	monoclinic


# 8
# CuPOsO2, relaxed, DFT PBE
data_CuPOsO2
_space_group_name_H-M_alt 'P 4/m m m'
_space_group_IT_number 123
_space_group_name_Hall '-P 4 2'
_cell_length_a 3.693
_cell_length_b 3.693
_cell_length_c 5.320
_cell_angle_alpha 90.00
_cell_angle_beta 90.00
_cell_angle_gamma 90.00
loop_
_atom_site_label
_atom_site_type_symbol
_atom_site_fract_x
_atom_site_fract_y
_atom_site_fract_z
_atom_site_occupancy
Cu1 Cu 0.000 0.000 0.000 1
P1 P 0.500 0.500 0.000 1
Os1 Os 0.500 0.500 0.500 1
O1 O 0.000 0.500 0.500 1
# distance to the lowest polymorph of the same formula	0	meV/atom
# DOS(E_F)	0.904	states/eV per atom
# final energy	-6.40	eV/atom
# crystal system	tetragonal


# 9
# LaHo4Au5, relaxed, DFT PBE
data_LaHo4Au5
_space_group_name_H-M_alt 'P 4/m m m'
_space_group_IT_number 123
_space_group_name_Hall '-P 4 2'
_cell_length_a 3.588
_cell_length_b 3.588
_cell_length_c 18.439
_cell_angle_alpha 90.00
_cell_angle_beta 90.00
_cell_angle_gamma 90.00
loop_
_atom_site_label
_atom_site_type_symbol
_atom_site_fract_x
_atom_site_fract_y
_atom_site_fract_z
_atom_site_occupancy
La1 La 0.000 0.000 0.000 1
Ho1 Ho 0.000 0.000 0.206 1
Ho2 Ho 0.000 0.000 0.402 1
Au1 Au 0.500 0.500 0.116 1
Au2 Au 0.500 0.500 0.305 1
Au3 Au 0.500 0.500 0.500 1
# DOS(E_F)	0.445	states/eV per atom
# final energy	-4.82	eV/atom
# ΔE_f	-855	meV/atom
# crystal system	tetragonal


# 10
# HfCu2F6, relaxed, DFT PBE
data_HfCu2F6
_space_group_name_H-M_alt 'P -3 m 1'
_space_group_IT_number 164
_space_group_name_Hall '-P 3 2"'
_cell_length_a 6.3054
_cell_length_b 6.3054
_cell_length_c 4.9571
_cell_angle_alpha 90.00
_cell_angle_beta 90.00
_cell_angle_gamma 120.00
loop_
_atom_site_label
_atom_site_type_symbol
_atom_site_fract_x
_atom_site_fract_y
_atom_site_fract_z
_atom_site_occupancy
Hf1 Hf 0.0000 0.0000 0.0000 1
Cu1 Cu 0.3333 0.6667 0.7506 1
F1 F 0.1515 0.3030 0.7698 1
# final energy	-5.74	eV/atom
# crystal system	trigonal


# 11
# Pr4ThMg3, relaxed, DFT PBE
data_Pr4ThMg3
_space_group_name_H-M_alt 'P 4/m m m'
_space_group_IT_number 123
_space_group_name_Hall '-P 4 2'
_cell_length_a 3.795
_cell_length_b 3.795
_cell_length_c 17.214
_cell_angle_alpha 90.00
_cell_angle_beta 90.00
_cell_angle_gamma 90.00
loop_
_atom_site_label
_atom_site_type_symbol
_atom_site_fract_x
_atom_site_fract_y
_atom_site_fract_z
_atom_site_occupancy
Pr1 Pr 0.000 0.000 0.116 1
Pr2 Pr 0.000 0.000 0.363 1
Th1 Th 0.500 0.500 0.500 1
Mg1 Mg 0.500 0.500 0.000 1
Mg2 Mg 0.500 0.500 0.238 1
# DOS(E_F)	1.068	states/eV per atom
# final energy	-3.98	eV/atom
# ΔE_f	-64	meV/atom
# crystal system	tetragonal


# 12
# AcHoTlIr, relaxed, DFT PBE
data_AcHoTlIr
_space_group_name_H-M_alt 'F -4 3 m'
_space_group_IT_number 216
_space_group_name_Hall 'F -4 2 3'
_cell_length_a 7.535
_cell_length_b 7.535
_cell_length_c 7.535
_cell_angle_alpha 90.00
_cell_angle_beta 90.00
_cell_angle_gamma 90.00
loop_
_atom_site_label
_atom_site_type_symbol
_atom_site_fract_x
_atom_site_fract_y
_atom_site_fract_z
_atom_site_occupancy
Ac1 Ac 0.000 0.000 0.000 1
Ho1 Ho 0.000 0.000 0.500 1
Tl1 Tl 0.250 0.250 0.750 1
Ir1 Ir 0.250 0.250 0.250 1
# DOS(E_F)	0.903	states/eV per atom
# final energy	-5.28	eV/atom
# ΔE_f	-306	meV/atom
# crystal system	cubic